This record from Alexandria via LeMat-Bulk describes an optimized crystal structure of BaSn2H. The functional is GGA-PBE.

```
data_BaSn2H
_space_group_name_H-M_alt 'P 1'
_space_group_IT_number 1
_space_group_name_Hall 'P 1'
_cell_length_a 5.4887
_cell_length_b 5.4887
_cell_length_c 5.4887
_cell_angle_alpha 60.00
_cell_angle_beta 60.00
_cell_angle_gamma 60.00
loop_
_atom_site_label
_atom_site_type_symbol
_atom_site_fract_x
_atom_site_fract_y
_atom_site_fract_z
_atom_site_occupancy
Ba1 Ba 0.5000 0.5000 0.5000 1
Sn1 Sn 0.7500 0.7500 0.7500 1
Sn2 Sn 0.2500 0.2500 0.2500 1
H1 H 0.0000 0.0000 0.0000 1
```

E: -2.880 eV/atom
D(E_F): 2.79 states/eV per cell

***

This record from Alexandria via LeMat-Bulk describes an optimized crystal structure of PrY4Th2. The functional is GGA-PBE.

```
data_PrY4Th2
_space_group_name_H-M_alt 'P 1'
_space_group_IT_number 1
_space_group_name_Hall 'P 1'
_cell_length_a 3.5363
_cell_length_b 9.5590
_cell_length_c 8.8243
_cell_angle_alpha 121.95
_cell_angle_beta 78.50
_cell_angle_gamma 111.62
loop_
_atom_site_label
_atom_site_type_symbol
_atom_site_fract_x
_atom_site_fract_y
_atom_site_fract_z
_atom_site_occupancy
Y1 Y 0.4106 0.7047 0.5861 1
Y2 Y 0.5894 0.2953 0.4139 1
Y3 Y 0.8032 0.1553 0.7064 1
Pr1 Pr 0.0000 0.0000 0.0000 1
Th1 Th 0.6322 0.5646 0.8636 1
Y4 Y 0.1968 0.8447 0.2936 1
Th2 Th 0.3678 0.4354 0.1364 1
```

calculated formation energy: 0.084 eV per atom
E: -6.412 eV/atom
D(E_F): 11.94 states/eV per cell
ΔE to the lowest computed polymorph: 0 meV/atom

***

This record from Alexandria via LeMat-Bulk describes an optimized crystal structure of TaTlAsSe2. The functional is GGA-PBE.

```
data_TaTlAsSe2
_space_group_name_H-M_alt 'P 1'
_space_group_IT_number 1
_space_group_name_Hall 'P 1'
_cell_length_a 5.0875
_cell_length_b 5.0875
_cell_length_c 5.1109
_cell_angle_alpha 90.00
_cell_angle_beta 90.00
_cell_angle_gamma 90.00
loop_
_atom_site_label
_atom_site_type_symbol
_atom_site_fract_x
_atom_site_fract_y
_atom_site_fract_z
_atom_site_occupancy
Se1 Se 0.5000 0.0000 0.0000 1
Tl1 Tl 0.5000 0.5000 0.5000 1
Ta1 Ta 0.0000 0.0000 0.0000 1
Se2 Se 0.0000 0.5000 0.0000 1
As1 As 0.0000 0.0000 0.5000 1
```

E: -5.389 eV/atom
D(E_F): 1.84 states/eV per cell
ΔE to the lowest computed polymorph: 0 meV/atom
energy relative to the elements, uncorrected: -0.222 eV per atom

***

This record from Alexandria via LeMat-Bulk describes an optimized crystal structure of Pr6GeN4. The functional is GGA-PBE.

```
data_Pr6GeN4
_space_group_name_H-M_alt 'P 1'
_space_group_IT_number 1
_space_group_name_Hall 'P 1'
_cell_length_a 3.7767
_cell_length_b 6.4888
_cell_length_c 19.4739
_cell_angle_alpha 90.00
_cell_angle_beta 90.00
_cell_angle_gamma 106.92
loop_
_atom_site_label
_atom_site_type_symbol
_atom_site_fract_x
_atom_site_fract_y
_atom_site_fract_z
_atom_site_occupancy
Pr1 Pr 0.9579 0.9158 0.8508 1
Pr2 Pr 0.0421 0.0842 0.1492 1
Pr3 Pr 0.7778 0.5555 0.4220 1
N1 N 0.8610 0.7220 0.5396 1
N2 N 0.1390 0.2780 0.0396 1
Pr4 Pr 0.0421 0.0842 0.3508 1
N3 N 0.4145 0.8290 0.1225 1
N4 N 0.8610 0.7220 0.9604 1
Pr5 Pr 0.5000 0.0000 0.0000 1
N5 N 0.5855 0.1710 0.8775 1
Pr6 Pr 0.7778 0.5555 0.0780 1
N6 N 0.4145 0.8290 0.3775 1
N7 N 0.1390 0.2780 0.4604 1
N8 N 0.5855 0.1710 0.6225 1
Pr7 Pr 0.5000 0.0000 0.5000 1
Pr8 Pr 0.6500 0.3000 0.7500 1
Pr9 Pr 0.9579 0.9158 0.6492 1
Pr10 Pr 0.2222 0.4445 0.9220 1
Ge1 Ge 0.6653 0.3307 0.2500 1
Pr11 Pr 0.2222 0.4445 0.5780 1
Ge2 Ge 0.3347 0.6693 0.7500 1
Pr12 Pr 0.3500 0.7000 0.2500 1
```

E: -7.171 eV/atom
D(E_F): 8.63 states/eV per cell
energy relative to the elements, uncorrected: -1.116 eV per atom